DFT (PBE) results for BaCdIn2 after structural relaxation.

Calculated values
ΔH_f (0 K)	-211.3	meV per atom

a = 3.871 Å, b = 4.840 Å, c = 7.166 Å
α = 90.00°, β = 105.56°, γ = 90.00°
Fractional coordinates of all 4 atoms:
Ba1 0.000 0.000 0.000
Cd1 0.626 0.500 0.254
In1 0.330 0.500 0.658
In2 0.747 0.000 0.491

DFT (PBE) results for Ba2CdIn after structural relaxation.

Calculated values
ΔH_f (0 K)	-363.5	meV per atom

a = 4.265 Å, b = 6.044 Å, c = 6.044 Å
α = 90.00°, β = 90.00°, γ = 90.00°
Fractional coordinates of all 4 atoms:
Ba1 0.000 0.000 0.000
Ba2 0.000 0.500 0.499
Cd1 0.500 0.000 0.500
In1 0.500 0.500 0.999

DFT (PBE) results for BaCdIn after structural relaxation.

Calculated values
ΔH_f (0 K)	-249.7	meV per atom

a = 6.926 Å, b = 6.926 Å, c = 6.926 Å
α = 146.63°, β = 146.63°, γ = 47.91°
Fractional coordinates of all 3 atoms:
Ba1 0.000 0.000 0.000
Cd1 0.314 0.314 0.000
In1 0.694 0.694 0.000

DFT (PBE) results for Ba2Cd4In5 after structural relaxation.

Calculated values
excess energy over the best structure of this formula in the dataset	0.20	eV/f.u.
ΔH_f (0 K)	-224.0	meV per atom

a = 10.898 Å, b = 10.036 Å, c = 6.287 Å
α = 80.20°, β = 65.16°, γ = 34.65°
Fractional coordinates of all 11 atoms:
Ba1 0.121 0.121 0.879
Ba2 0.879 0.879 0.121
Cd1 0.219 0.505 0.495
Cd2 0.495 0.781 0.219
Cd3 0.505 0.219 0.781
Cd4 0.781 0.495 0.505
In1 0.000 0.000 0.500
In2 0.250 0.250 0.250
In3 0.500 0.500 0.000
In4 0.500 0.500 0.500
In5 0.750 0.750 0.750

Number 1: calculated volume 32.33 Å³ per atom. Number 2: calculated volume 38.95 Å³ per atom. Number 3: calculated volume 33.37 Å³ per atom. Number 4: calculated volume 30.32 Å³ per atom.